HfVO5 | GGA+U | relaxed

Values from the calculation:
The space group is C2/c, No. 15. The value obtained for the distance to the lowest polymorph of the same formula is 76 meV/atom. The magnetic moment is 0.1453 μB per atom. The total energy is -0.3032 Ha/atom.

Lattice parameters (Å, degrees): 5.2280 5.2280 7.2147 70.25 70.25 71.48
Positions (direct):
Hf  0.5540  0.4460  0.2500
Hf  0.4460  0.5540  0.7500
V  0.0000  0.0000  0.0000
V  0.0000  0.0000  0.5000
O  0.7883  0.7381  0.1209
O  0.2924  0.6850  0.4583
O  0.7381  0.7883  0.6209
O  0.9059  0.0941  0.2500
O  0.3150  0.7076  0.0417
O  0.6850  0.2924  0.9583
O  0.0941  0.9059  0.7500
O  0.2619  0.2117  0.3791
O  0.7076  0.3150  0.5417
O  0.2117  0.2619  0.8791